VASP calculation (PBE) on a relaxed structure of Cs3Rh2Cl9.

The calculation puts the energy relative to the elements, uncorrected at -1264 meV per atom. As for the total energy: -3.68 eV/atom.

The structure belongs to space group P6_3/mmc (No. 194); the cell edges are 7.3812, 7.3812 and 18.7281 Å and the angles 90.00°, 90.00° and 120.00°. The distinct sites, in fractional coordinates, are Cs at (0.0000, 0.0000, 0.2500), Cs at (0.3333, 0.6667, 0.0676), Rh at (0.3333, 0.6667, 0.6670), Cl at (0.0424, 0.5212, 0.7500) and Cl at (0.1827, 0.3655, 0.5964).